Record 1
## Pu2PaSi (GGA-PBE)

Data for an optimized crystal structure of Pu2PaSi.

Output
The formation energy without anion corrections comes out at 62 meV per atom. The crystal system is orthorhombic. The energy above the most stable polymorph in this dataset is 302 meV/atom. For the total magnetization, the calculation gives 21.7 μB per cell.

a = 3.002 Å, b = 7.286 Å, c = 8.286 Å
α = 90.00°, β = 90.00°, γ = 90.00°
Fractional positions:
Si1 0.799 0.777 0.142
Si2 0.299 0.277 0.642
Pu1 0.799 0.115 0.938
Pu2 0.299 0.615 0.846
Pu3 0.799 0.115 0.346
Pu4 0.299 0.615 0.438
Pa1 0.299 0.427 0.142
Pa2 0.799 0.927 0.642

***

Record 2
## PuNpTlCl6 (GGA-PBE)

Data for an optimized crystal structure of PuNpTlCl6.

Output
The formation energy without anion corrections comes out at -1596 meV per atom. The crystal system is trigonal. For the total magnetization, the calculation gives 2.7 μB per cell.

a = 7.385 Å, b = 7.385 Å, c = 13.600 Å
α = 90.00°, β = 90.00°, γ = 120.00°
Fractional positions:
Cl1 0.003 0.637 0.862
Cl2 0.363 0.997 0.638
Cl3 0.637 0.634 0.138
Cl4 0.997 0.363 0.138
Cl5 0.634 0.997 0.862
Cl6 0.997 0.634 0.362
Cl7 0.637 0.003 0.362
Cl8 0.363 0.366 0.862
Cl9 0.634 0.637 0.638
Cl10 0.003 0.366 0.638
Cl11 0.366 0.003 0.138
Cl12 0.366 0.363 0.362
Pu1 0.333 0.667 0.250
Pu2 0.667 0.333 0.750
Np1 0.333 0.667 0.750
Np2 0.667 0.333 0.250
Tl1 0.000 0.000 0.500
Tl2 0.000 0.000 0.000

***

Question: Among the records above, which one has the highest formation energy without anion corrections?
Answer: Pu2PaSi